# 1
Nd2SnAu after structural relaxation, computed with PBE-GGA.

Output
**Size of the total moment**: 0.0 Bohr magnetons per cell
**Formation energy**: -0.718 eV/atom

Cell lengths 3.6812, 3.6812, 8.0359 Å; angles 90.00, 90.00, 90.00 degrees
Closest atoms and distances in Å follow each position.
Element x y z (fractional)
Au: 0.5000 0.5000 0.0000  8 Nd 3.22
Sn: 0.5000 0.5000 0.5000  8 Nd 3.36, 4 Sn 3.68
Nd: 0.0000 0.0000 0.7641  4 Au 3.22, 4 Sn 3.36
Nd: 0.0000 0.0000 0.2359  4 Au 3.22, 4 Sn 3.36

---

# 2
ZrNbAl4 after structural relaxation, computed with PBE-GGA.

Output
**Size of the total moment**: 0.0 Bohr magnetons per cell
**Formation energy**: -0.420 eV/atom

Cell lengths 5.2255, 5.2255, 5.2255 Å; angles 60.00, 60.00, 60.00 degrees
Closest atoms and distances in Å follow each position.
Element x y z (fractional)
Al: 0.6249 0.6249 0.1254  6 Al 2.61-2.62
Al: 0.1254 0.6249 0.6249  6 Al 2.61-2.62
Al: 0.6249 0.1254 0.6249  6 Al 2.61-2.62
Al: 0.6249 0.6249 0.6249  6 Al 2.61-2.62
Nb: 0.0000 0.0000 0.0000  12 Al 3.06, 4 Zr 3.20
Zr: 0.2500 0.2500 0.2500  12 Al 3.06, 4 Nb 3.20

---

# 3
YMoAu2 after structural relaxation, computed with PBE-GGA.

Output
**Size of the total moment**: 0.0 Bohr magnetons per cell
**Formation energy**: -0.070 eV/atom

Cell lengths 3.1071, 4.0827, 6.1454 Å; angles 90.00, 90.00, 90.00 degrees
Closest atoms and distances in Å follow each position.
Element x y z (fractional)
Y: 0.5000 0.5000 0.7500  8 Au 3.07, 2 Mo 3.07, 2 Y 3.11
Au: 0.0000 0.0000 0.4770  3 Au 2.79-3.11, 4 Mo 2.92, 4 Y 3.07
Au: 0.0000 0.0000 0.0230  3 Au 2.79-3.11, 4 Mo 2.92, 4 Y 3.07
Mo: 0.5000 0.5000 0.2500  8 Au 2.92, 2 Y 3.07, 2 Mo 3.11

---

# 4
NdAgPbSe3 after structural relaxation, computed with PBE-GGA.

Output
**Size of the total moment**: 0.0 Bohr magnetons per cell
**Energy relative to the elements, uncorrected**: -970 meV per atom

Cell lengths 4.2289, 8.6562, 9.3353 Å; angles 102.82, 90.00, 90.00 degrees
Closest atoms and distances in Å follow each position.
Element x y z (fractional)
Pb: 0.2500 0.1895 0.2323  7 Se 3.15-3.28
Pb: 0.7500 0.8105 0.7677  7 Se 3.15-3.28
Se: 0.2500 0.5710 0.8423  3 Nd 2.98-3.02, 2 Pb 3.15
Se: 0.2500 0.0979 0.8720  1 Ag 2.69, 2 Nd 2.98
Se: 0.7500 0.4290 0.1577  3 Nd 2.98-3.02, 2 Pb 3.15
Se: 0.2500 0.7508 0.4987  3 Ag 2.73-2.86, 1 Nd 2.96
Se: 0.7500 0.9021 0.1280  1 Ag 2.69, 2 Nd 2.98
Se: 0.7500 0.2492 0.5013  3 Ag 2.73-2.86, 1 Nd 2.96
Ag: 0.7500 0.9106 0.4173  4 Se 2.69-2.86, 2 Ag 2.86
Ag: 0.2500 0.0894 0.5827  4 Se 2.69-2.86, 2 Ag 2.86
Nd: 0.2500 0.6747 0.1732  6 Se 2.96-3.02
Nd: 0.7500 0.3253 0.8268  6 Se 2.96-3.02

---

# 5
LiCdSn after structural relaxation, computed with PBE-GGA.

Output
**Size of the total moment**: 0.0 Bohr magnetons per cell
**Formation energy**: -0.040 eV/atom

Cell lengths 6.8412, 4.7447, 3.5211 Å; angles 90.00, 90.00, 44.75 degrees
Closest atoms and distances in Å follow each position.
Element x y z (fractional)
Sn: 0.0000 0.0000 0.5000  4 Li 2.95, 4 Cd 2.98
Li: 0.0000 0.5000 0.0000  4 Sn 2.95
Cd: 0.5000 0.5000 0.0000  4 Sn 2.98, 2 Li 3.34

---

# 6
ReHg2 after structural relaxation, computed with PBE-GGA.

Output
**Size of the total moment**: 0.0 Bohr magnetons per cell
**Formation energy**: 1.073 eV/atom

Cell lengths 8.0095, 8.0095, 5.0487 Å; angles 90.00, 90.00, 159.41 degrees
Closest atoms and distances in Å follow each position.
Element x y z (fractional)
Hg: 0.2713 0.7287 0.2500  8 Hg 2.86-3.02, 4 Re 2.93-3.15
Hg: 0.0598 0.9402 0.7500  6 Hg 2.86-3.15, 6 Re 3.00-3.02
Hg: 0.7287 0.2713 0.7500  8 Hg 2.86-3.02, 4 Re 2.93-3.15
Hg: 0.9402 0.0598 0.2500  6 Hg 2.86-3.15, 6 Re 3.00-3.02
Re: 0.6092 0.3908 0.2500  2 Re 2.86, 10 Hg 2.93-3.15
Re: 0.3908 0.6092 0.7500  2 Re 2.86, 10 Hg 2.93-3.15

---

# 7
Pm3Ga2Ge2 after structural relaxation, computed with PBE-GGA.

Output
**Size of the total moment**: 0.0 Bohr magnetons per cell
**Formation energy**: -0.751 eV/atom

Cell lengths 4.3442, 5.9102, 7.6278 Å; angles 111.65, 90.00, 111.56 degrees
Closest atoms and distances in Å follow each position.
Element x y z (fractional)
Pm: 0.6763 0.3525 0.6290  5 Ge 3.06-3.27, 3 Ga 3.09-3.11
Pm: 0.5000 0.0000 0.0000  6 Ga 3.21-3.22, 4 Ge 3.26
Pm: 0.3237 0.6475 0.3710  5 Ge 3.06-3.27, 3 Ga 3.09-3.11
Ge: 0.9646 0.9292 0.6648  1 Ga 2.51
Ge: 0.0354 0.0708 0.3352  1 Ga 2.51
Ga: 0.1918 0.3837 0.9293  1 Ge 2.51, 2 Ga 2.53
Ga: 0.8082 0.6163 0.0707  1 Ge 2.51, 2 Ga 2.53

---

# 8
La2TiS5 after structural relaxation, computed with PBE-GGA.

Output
**Size of the total moment**: 0.0 Bohr magnetons per cell
**Energy relative to the elements, uncorrected**: -1698 meV per atom

Cell lengths 5.2459, 7.4405, 12.7767 Å; angles 90.00, 90.00, 110.64 degrees
Closest atoms and distances in Å follow each position.
Element x y z (fractional)
La: 0.8527 0.7055 0.0706  6 S 2.79-2.98
La: 0.1473 0.2945 0.5706  6 S 2.79-2.98
La: 0.1473 0.2945 0.9294  6 S 2.79-2.98
La: 0.8527 0.7055 0.4294  6 S 2.79-2.98
S: 0.7101 0.4203 0.5982  1 Ti 2.53, 2 La 2.79
S: 0.2899 0.5797 0.0982  1 Ti 2.53, 2 La 2.79
S: 0.7159 0.4318 0.2500  2 Ti 2.69, 2 La 2.98
S: 0.9492 0.8984 0.8745  1 Ti 2.33
S: 0.2899 0.5797 0.4018  1 Ti 2.53, 2 La 2.79
S: 0.0508 0.1016 0.3745  1 Ti 2.33
S: 0.0508 0.1016 0.1255  1 Ti 2.33
S: 0.9492 0.8984 0.6255  1 Ti 2.33
S: 0.7101 0.4203 0.9018  1 Ti 2.53, 2 La 2.79
S: 0.2841 0.5682 0.7500  2 Ti 2.69, 2 La 2.98
Ti: 0.8268 0.6537 0.7500  4 S 2.33-2.53
Ti: 0.1732 0.3463 0.2500  4 S 2.33-2.53

---

# 9
Lu2ZrBe after structural relaxation, computed with PBE-GGA.

Output
**Size of the total moment**: 0.0 Bohr magnetons per cell
**Formation energy**: 0.054 eV/atom

Cell lengths 3.3020, 3.3020, 8.1359 Å; angles 90.00, 90.00, 90.00 degrees
Closest atoms and distances in Å follow each position.
Element x y z (fractional)
Lu: 0.0000 0.0000 0.2103  4 Be 2.89
Lu: 0.0000 0.0000 0.7897  4 Be 2.89
Be: 0.5000 0.5000 0.0000  8 Lu 2.89
Zr: 0.5000 0.5000 0.5000  4 Zr 3.30, 8 Lu 3.32

---

# 10
NaPH2 after structural relaxation, computed with PBE-GGA.

Output
**Calculated total energy**: -3.259 eV per atom
**Size of the total moment**: 0.0 Bohr magnetons per cell

Cell lengths 4.2682, 4.2682, 6.3199 Å; angles 70.26, 70.26, 90.00 degrees
Closest atoms and distances in Å follow each position.
Element x y z (fractional)
P: 0.0000 0.0000 0.0000  4 H 1.75
P: 0.7500 0.2500 0.5000  4 H 1.75
Na: 0.5000 0.5000 0.0000  8 H 2.76, 4 P 3.02
Na: 0.2500 0.7500 0.5000  8 H 2.76, 4 P 3.02
H: 0.8750 0.1250 0.7500  2 P 1.75
H: 0.8750 0.6250 0.2500  2 P 1.75
H: 0.8750 0.1250 0.2500  2 P 1.75
H: 0.3750 0.1250 0.7500  2 P 1.75

---

# 11
YGeRu3 after structural relaxation, computed with PBE-GGA.

Output
**Size of the total moment**: 3.1 Bohr magnetons per cell
**Formation energy**: 1.997 eV/atom

Cell lengths 4.8754, 4.8754, 4.8754 Å; angles 90.00, 90.00, 90.00 degrees
Closest atoms and distances in Å follow each position.
Element x y z (fractional)
Ge: 0.5000 0.5000 0.5000  12 Ru 3.45
Ru: 0.0000 0.5000 0.0000  2 Y 2.44
Ru: 0.0000 0.0000 0.5000  2 Y 2.44
Ru: 0.5000 0.0000 0.0000  2 Y 2.44
Y: 0.0000 0.0000 0.0000  6 Ru 2.44

---

# 12
AcLaAlNi after structural relaxation, computed with PBE-GGA.

Output
**Size of the total moment**: 0.0 Bohr magnetons per cell
**Formation energy**: -0.133 eV/atom

Cell lengths 5.3426, 5.3426, 5.3426 Å; angles 60.00, 60.00, 60.00 degrees
Closest atoms and distances in Å follow each position.
Element x y z (fractional)
Al: 0.7500 0.7500 0.7500  4 La 3.27, 4 Ac 3.27
La: 0.5000 0.5000 0.5000  4 Al 3.27, 4 Ni 3.27
Ni: 0.2500 0.2500 0.2500  4 La 3.27, 4 Ac 3.27
Ac: 0.0000 0.0000 0.0000  4 Ni 3.27, 4 Al 3.27

---

Repeat the first record exactly.
Nd2SnAu after structural relaxation, computed with PBE-GGA.

Output
**Size of the total moment**: 0.0 Bohr magnetons per cell
**Formation energy**: -0.718 eV/atom

Cell lengths 3.6812, 3.6812, 8.0359 Å; angles 90.00, 90.00, 90.00 degrees
Closest atoms and distances in Å follow each position.
Element x y z (fractional)
Au: 0.5000 0.5000 0.0000  8 Nd 3.22
Sn: 0.5000 0.5000 0.5000  8 Nd 3.36, 4 Sn 3.68
Nd: 0.0000 0.0000 0.7641  4 Au 3.22, 4 Sn 3.36
Nd: 0.0000 0.0000 0.2359  4 Au 3.22, 4 Sn 3.36

---

Question: Which value of size of the total moment does entry 4 give?
Answer: 0.0 Bohr magnetons per cell